[1]
Computed, not measured: La6Nd2Dy3Mg after structural relaxation at the PBE level of DFT.

## Properties
ρ = 6.63 Mg/m³
calculated volume = 408.87 Å³ per cell
magnetization = 0.00 μB/f.u.
E_form = 0.01 eV per atom

a = 6.327 Å, b = 6.327 Å, c = 11.982 Å
α = 95.05°, β = 95.05°, γ = 120.02°
Atoms (fractional coordinates):
La: 0.083 0.414 0.752
La: 0.247 0.247 0.248
La: 0.414 0.083 0.752
La: 0.586 0.917 0.248
La: 0.753 0.753 0.752
La: 0.917 0.586 0.248
Nd: 0.333 0.667 0.500
Nd: 0.667 0.333 0.500
Dy: 0.166 0.834 0.000
Dy: 0.500 0.500 0.000
Dy: 0.834 0.166 0.000
Mg: 0.000 0.000 0.500

---

[2]
Computed, not measured: K4HgTe after structural relaxation at the PBE level of DFT.

## Properties
ρ = 2.92 Mg/m³
calculated volume = 275.74 Å³ per cell
formation energy without anion corrections = -0.8 eV/f.u.
magnetization = 0.00 μB/f.u.

a = 7.306 Å, b = 7.306 Å, c = 7.306 Å
α = 60.00°, β = 60.00°, γ = 60.00°
Atoms (fractional coordinates):
K: 0.123 0.123 0.123
K: 0.123 0.123 0.630
K: 0.123 0.630 0.123
K: 0.630 0.123 0.123
Hg: 0.500 0.500 0.500
Te: 0.750 0.750 0.750

---

[3]
Computed, not measured: La6CoHg5 after structural relaxation at the PBE level of DFT.

## Properties
ρ = 9.30 Mg/m³
calculated volume = 338.43 Å³ per cell
magnetization = 0.00 μB/f.u.
E_form = -0.41 eV per atom

a = 9.333 Å, b = 9.333 Å, c = 9.333 Å
α = 146.25°, β = 130.83°, γ = 60.97°
Atoms (fractional coordinates):
La: 0.076 0.348 0.728
La: 0.220 0.000 0.220
La: 0.380 0.652 0.728
La: 0.620 0.348 0.272
La: 0.780 0.000 0.780
La: 0.924 0.652 0.272
Co: 0.000 0.500 0.500
Hg: 0.189 0.189 0.000
Hg: 0.333 0.833 0.500
Hg: 0.500 0.500 0.000
Hg: 0.667 0.167 0.500
Hg: 0.811 0.811 0.000

---

[4]
Computed, not measured: Zr2TcP after structural relaxation at the PBE level of DFT.

## Properties
ρ = 7.16 Mg/m³
calculated volume = 144.46 Å³ per cell
magnetization = 0.00 μB/f.u.
E_form = -0.78 eV per atom

a = 4.111 Å, b = 3.501 Å, c = 10.035 Å
α = 90.00°, β = 90.00°, γ = 90.00°
Atoms (fractional coordinates):
Zr: 0.000 0.000 0.000
Zr: 0.000 0.500 0.500
Zr: 0.500 0.000 0.287
Zr: 0.500 0.500 0.787
Tc: 0.000 0.000 0.730
Tc: 0.000 0.500 0.230
P: 0.500 0.000 0.566
P: 0.500 0.500 0.066

---

[5]
Computed, not measured: Ce2InB2Ru5 after structural relaxation at the PBE level of DFT.

## Properties
ρ = 10.07 Mg/m³
calculated volume = 304.09 Å³ per cell
magnetization = 0.00 μB/f.u.
E_form = -0.46 eV per atom

a = 9.800 Å, b = 9.800 Å, c = 3.166 Å
α = 90.00°, β = 90.00°, γ = 90.00°
Atoms (fractional coordinates):
Ce: 0.176 0.324 0.000
Ce: 0.324 0.824 0.000
Ce: 0.676 0.176 0.000
Ce: 0.824 0.676 0.000
In: 0.000 0.000 0.000
In: 0.500 0.500 0.000
B: 0.121 0.621 0.000
B: 0.379 0.121 0.000
B: 0.621 0.879 0.000
B: 0.879 0.379 0.000
Ru: 0.000 0.500 0.500
Ru: 0.072 0.774 0.500
Ru: 0.226 0.072 0.500
Ru: 0.274 0.572 0.500
Ru: 0.428 0.274 0.500
Ru: 0.500 0.000 0.500
Ru: 0.572 0.726 0.500
Ru: 0.726 0.428 0.500
Ru: 0.774 0.928 0.500
Ru: 0.928 0.226 0.500

---

[6]
Computed, not measured: LaSc2Ta after structural relaxation at the PBE level of DFT.

## Properties
ρ = 6.82 Mg/m³
calculated volume = 99.72 Å³ per cell
magnetization = 0.00 μB/f.u.
E_form = 0.24 eV per atom

a = 3.731 Å, b = 3.731 Å, c = 7.163 Å
α = 90.00°, β = 90.00°, γ = 90.00°
Atoms (fractional coordinates):
La: 0.000 0.000 0.000
Sc: 0.500 0.500 0.299
Sc: 0.500 0.500 0.701
Ta: 0.000 0.000 0.500

---

magnetization of number 2 (K4HgTe)?
0.00 μB/f.u.

---

Look up the calculated volume of the first one.
408.87 Å³ per cell